KAcS2O8 after structural relaxation, computed with PBE.

Unit cell a=5.6757 b=5.6757 c=8.1900 alpha=90.00 beta=90.00 gamma=120.00
Closest atoms and distances in Å follow each position.
Positions (direct):
K 0.0000 0.0000 0.5000  12 O 3.11-3.31
Ac 0.0000 0.0000 0.0000  6 O 2.47
S 0.3333 0.6667 0.7366  4 O 1.45-1.50
S 0.6667 0.3333 0.2634  4 O 1.45-1.50
O 0.1909 0.3817 0.8035  1 S 1.50
O 0.1909 0.8091 0.8035  1 S 1.50
O 0.6183 0.8091 0.8035  1 S 1.50
O 0.3817 0.1909 0.1965  1 S 1.50
O 0.6667 0.3333 0.4408  1 S 1.45
O 0.3333 0.6667 0.5592  1 S 1.45
O 0.8091 0.6183 0.1965  1 S 1.50
O 0.8091 0.1909 0.1965  1 S 1.50

Computed properties:
D(E_F) = 0.0 states/eV/f.u.
Space group = P-3m1

---

KAcSO4 after structural relaxation, computed with PBE.

Unit cell a=6.5084 b=6.5084 c=6.5084 alpha=60.00 beta=60.00 gamma=60.00
Closest atoms and distances in Å follow each position.
Positions (direct):
K 0.7500 0.7500 0.7500  12 O 3.93, 4 Ac 3.99
Ac 0.5000 0.5000 0.5000  4 O 2.49
S 0.2500 0.2500 0.2500  4 O 1.49
O 0.3436 0.3436 0.9691  1 S 1.49
O 0.3436 0.3436 0.3436  1 S 1.49
O 0.3436 0.9691 0.3436  1 S 1.49
O 0.9691 0.3436 0.3436  1 S 1.49

Computed properties:
Space group = F-43m

---

no.,total DFT energy (no corrections) (eV for the cell shown)
1,-78.1
2,-39.4